DFT (GGA-PBE) results for a relaxed structure of CsVSeBr6.

Cell lengths 6.9494, 7.1528, 7.7252 Å; angles 70.21, 69.47, 85.56 degrees
With the nearest neighbours (Å) after each atom.
Fractional coordinates of all 9 atoms:
Cs: 0.0000 0.0000 0.0000  10 Br 3.76-4.19, 2 Se 4.08-4.19
V: 0.5105 0.5521 0.4876  4 Br 2.38-2.42
Se: 0.4283 0.2605 0.1074  2 Br 2.53-2.63
Br: 0.1922 0.5567 0.7482  1 V 2.42
Br: 0.2723 0.2860 0.4474  1 Se 2.53, 1 V 2.78
Br: 0.4225 0.7985 0.2275  1 V 2.41
Br: 0.5911 0.2346 0.7533  1 Se 2.63, 1 V 2.67
Br: 0.7079 0.7724 0.5401  1 V 2.38
Br: 0.7907 0.4384 0.2620  1 V 2.41

E_tot ... -0.2462 Ry per atom
Calculated volume ... 338.0 Å³ per cell
Formation energy (no corrections) ... -739 meV/atom